A relaxed ZnCd2Os crystal, computed with GGA-PBE.

```
ZnCd2Os
1.0
2.7935 0.0000 0.0000
0.0000 4.0081 0.0000
0.0000 0.0000 6.3509
Zn Cd Os
1 2 1
direct
0.5000 0.5000 0.7062
0.5000 0.5000 0.2703
0.0000 0.0000 0.9869
0.0000 0.0000 0.5366
```

Calculated values
- ΔH_f (0 K): 36.8 kJ per mole of atoms
- Space-group type: No. 25